FeI2O after structural relaxation, computed with PBE with a Hubbard U.

a b c (Å): 4.8642 4.8642 4.8642
angles (deg): 60.00 60.00 60.00
Fractional positions:
Fe: 0.0000 0.0000 0.0000
I: 0.2500 0.2500 0.2500
I: 0.7500 0.7500 0.7500
O: 0.5000 0.5000 0.5000

Results
Energy relative to the lowest polymorph listed for this composition ... 193 meV/atom
Space group ... Fm-3m, No. 225

***

FeIO4 after structural relaxation, computed with PBE with a Hubbard U.

a b c (Å): 4.8737 4.7112 14.4495
angles (deg): 90.00 90.00 90.00
Fractional positions:
Fe: 0.2500 0.0011 0.1819
Fe: 0.2500 0.4989 0.6819
Fe: 0.7500 0.5011 0.3181
Fe: 0.7500 0.9989 0.8181
I: 0.2501 0.0011 0.3993
I: 0.2501 0.4989 0.8993
I: 0.7499 0.5011 0.1007
I: 0.7499 0.9989 0.6007
O: 0.0515 0.2260 0.0946
O: 0.0515 0.2740 0.5946
O: 0.0738 0.2031 0.3030
O: 0.0738 0.2969 0.8030
O: 0.4262 0.7009 0.8030
O: 0.4262 0.7991 0.3030
O: 0.4485 0.7236 0.5946
O: 0.4485 0.7764 0.0946
O: 0.5515 0.2236 0.9054
O: 0.5515 0.2764 0.4054
O: 0.5738 0.2009 0.6970
O: 0.5738 0.2991 0.1970
O: 0.9262 0.7031 0.1970
O: 0.9262 0.7969 0.6970
O: 0.9485 0.7260 0.4054
O: 0.9485 0.7740 0.9054

Results
Space group ... P2_1/c, No. 14
Energy ... -5.21 eV/atom

***

FeIO2 after structural relaxation, computed with PBE with a Hubbard U.

a b c (Å): 5.9907 5.9907 5.9907
angles (deg): 123.80 123.80 83.54
Fractional positions:
Fe: 0.0000 0.0000 0.0000
Fe: 0.7500 0.2500 0.5000
I: 0.2500 0.7500 0.5000
I: 0.5000 0.5000 0.0000
O: 0.3750 0.2298 0.3548
O: 0.7702 0.1250 0.1452
O: 0.8750 0.0202 0.6452
O: 0.9798 0.6250 0.8548

Results
Energy relative to the lowest polymorph listed for this composition ... 191 meV/atom
Space group ... I-42d, No. 122

***

Fe3IO after structural relaxation, computed with PBE with a Hubbard U.

a b c (Å): 4.8262 4.8262 4.8262
angles (deg): 90.00 90.00 90.00
Fractional positions:
Fe: 0.0000 0.0000 0.5000
Fe: 0.0000 0.5000 0.0000
Fe: 0.5000 0.0000 0.0000
I: 0.0000 0.0000 0.0000
O: 0.5000 0.5000 0.5000

Results
Energy relative to the lowest polymorph listed for this composition ... 1753 meV/atom
Space group ... Pm-3m, No. 221

***

Fe3IO after structural relaxation, computed with PBE with a Hubbard U.

a b c (Å): 4.3771 4.3771 4.3771
angles (deg): 90.00 90.00 90.00
Fractional positions:
Fe: 0.0000 0.0000 0.5000
Fe: 0.0000 0.5000 0.0000
Fe: 0.5000 0.0000 0.0000
I: 0.5000 0.5000 0.5000
O: 0.0000 0.0000 0.0000

Results
Energy relative to the lowest polymorph listed for this composition ... 0 meV/atom
Space group ... Pm-3m, No. 221

***

FeIO2 after structural relaxation, computed with PBE with a Hubbard U.

a b c (Å): 8.1915 8.1915 8.1915
angles (deg): 21.98 21.98 21.98
Fractional positions:
Fe: 0.0000 0.0000 0.0000
I: 0.5000 0.5000 0.5000
O: 0.0668 0.0668 0.0668
O: 0.9332 0.9332 0.9332

Results
Energy relative to the lowest polymorph listed for this composition ... 1413 meV/atom
Space group ... R-3m, No. 166